Entry 1:
NbAl2CoW: relaxed, GGA-PBE.

abc: 4.763 4.345 4.763
angles: 90.00 90.00 90.00
Sites, in units of the cell vectors:
Al1 0.000 0.000 0.500
Al2 0.500 0.000 0.000
Co1 0.000 0.500 0.000
Nb1 0.500 0.500 0.500
W1 0.000 0.000 0.000

Calculated values
For the total energy, the calculation gives -31.55 eV/f.u. As for the mass density: 6.563 g cm⁻³. For the energy of formation from the pure elements, the calculation gives 1.212 eV/atom. The calculation puts the total magnetic moment at 1.2 μB per cell. Its density of states at the Fermi level is 6.25 states/eV/f.u.

Entry 2:
Nd6AlCo: relaxed, GGA-PBE.

abc: 6.452 7.840 6.470
angles: 52.71 81.52 75.91
Sites, in units of the cell vectors:
Nd1 0.359 0.216 0.000
Nd2 0.781 0.182 0.372
Nd3 0.781 0.554 0.628
Nd4 0.641 0.784 0.000
Nd5 0.219 0.818 0.628
Nd6 0.219 0.446 0.372
Co1 0.500 0.500 0.000
Al1 0.000 0.000 0.000

Calculated values
For the total energy, the calculation gives -39.13 eV/f.u. As for the mass density: 6.255 g cm⁻³. For the energy of formation from the pure elements, the calculation gives 0.041 eV/atom. The calculation puts the total magnetic moment at 0.0 μB per cell. Its density of states at the Fermi level is 10.79 states/eV/f.u.

Entry 3:
Nd2AlCo: relaxed, GGA-PBE.

abc: 3.381 3.381 10.287
angles: 80.54 80.54 60.00
Sites, in units of the cell vectors:
Nd1 0.084 0.084 0.748
Nd2 0.916 0.916 0.252
Co1 0.000 0.000 0.000
Al1 0.500 0.500 0.500

Calculated values
For the total energy, the calculation gives -18.47 eV/f.u. As for the mass density: 6.216 g cm⁻³. For the energy of formation from the pure elements, the calculation gives 0.479 eV/atom. The calculation puts the total magnetic moment at 0.8 μB per cell. The calculation puts the energy above the lowest structure with this stoichiometry at 612 meV/atom. Its density of states at the Fermi level is 4.13 states/eV/f.u.

Entry 4:
Nd4Al16Co3: relaxed, GGA-PBE.

abc: 6.109 6.109 11.384
angles: 90.00 90.00 90.00
Sites, in units of the cell vectors:
Al1 0.000 0.000 0.785
Al2 0.249 0.249 0.613
Al3 0.276 0.276 0.000
Al4 0.724 0.276 0.000
Al5 0.000 0.000 0.215
Al6 0.249 0.751 0.613
Al7 0.751 0.249 0.613
Al8 0.500 0.500 0.193
Al9 0.276 0.724 0.000
Al10 0.751 0.751 0.613
Al11 0.751 0.249 0.387
Al12 0.724 0.724 0.000
Al13 0.249 0.751 0.387
Al14 0.751 0.751 0.387
Al15 0.249 0.249 0.387
Al16 0.500 0.500 0.807
Nd1 0.000 0.500 0.194
Nd2 0.500 0.000 0.806
Nd3 0.500 0.000 0.194
Nd4 0.000 0.500 0.806
Co1 0.000 0.000 0.000
Co2 0.000 0.500 0.500
Co3 0.500 0.000 0.500

Calculated values
For the total energy, the calculation gives -110.78 eV/f.u. As for the mass density: 4.634 g cm⁻³. For the energy of formation from the pure elements, the calculation gives -0.457 eV/atom. The calculation puts the total magnetic moment at 0.0 μB per cell. Its density of states at the Fermi level is 3.48 states/eV/f.u.

Entry 5:
NdAlCo: relaxed, GGA-PBE.

abc: 4.202 4.201 7.030
angles: 90.00 90.02 90.00
Sites, in units of the cell vectors:
Nd1 0.250 0.750 0.187
Nd2 0.750 0.250 0.813
Co1 0.250 0.250 0.500
Co2 0.750 0.750 0.500
Al1 0.750 0.250 0.331
Al2 0.250 0.750 0.669

Calculated values
For the total energy, the calculation gives -16.67 eV/f.u. As for the mass density: 6.158 g cm⁻³. For the energy of formation from the pure elements, the calculation gives -0.352 eV/atom. The calculation puts the total magnetic moment at 0.0 μB per cell. Its density of states at the Fermi level is 2.59 states/eV/f.u.

Entry 6:
Nd12AlCo6: relaxed, GGA-PBE.

abc: 8.639 8.639 8.639
angles: 109.47 109.47 109.47
Sites, in units of the cell vectors:
Nd1 0.888 0.192 0.696
Nd2 0.192 0.696 0.888
Nd3 0.304 0.112 0.808
Nd4 0.304 0.496 0.192
Nd5 0.808 0.696 0.504
Nd6 0.504 0.808 0.696
Nd7 0.496 0.192 0.304
Nd8 0.192 0.304 0.496
Nd9 0.112 0.808 0.304
Nd10 0.696 0.888 0.192
Nd11 0.808 0.304 0.112
Nd12 0.696 0.504 0.808
Co1 0.889 0.389 0.500
Co2 0.611 0.500 0.111
Co3 0.500 0.111 0.611
Co4 0.111 0.611 0.500
Co5 0.500 0.889 0.389
Co6 0.389 0.500 0.889
Al1 0.000 0.000 0.000

Calculated values
For the total energy, the calculation gives -105.63 eV/f.u. As for the mass density: 7.064 g cm⁻³. For the energy of formation from the pure elements, the calculation gives -0.107 eV/atom. The calculation puts the total magnetic moment at 0.0 μB per cell. Its density of states at the Fermi level is 15.23 states/eV/f.u.

Entry 7:
NdAl3Co: relaxed, GGA-PBE.

abc: 4.096 8.276 10.829
angles: 90.00 90.00 90.00
Sites, in units of the cell vectors:
Al1 0.250 0.550 0.081
Al2 0.250 0.355 0.273
Al3 0.250 0.855 0.227
Al4 0.250 0.385 0.724
Al5 0.750 0.615 0.276
Al6 0.750 0.145 0.773
Al7 0.750 0.950 0.581
Al8 0.750 0.115 0.224
Al9 0.250 0.885 0.776
Al10 0.250 0.050 0.419
Al11 0.750 0.645 0.727
Al12 0.750 0.450 0.919
Co1 0.250 0.111 0.644
Co2 0.750 0.389 0.144
Co3 0.750 0.889 0.356
Co4 0.250 0.611 0.856
Nd1 0.250 0.188 0.990
Nd2 0.250 0.688 0.510
Nd3 0.750 0.812 0.010
Nd4 0.750 0.312 0.490

Calculated values
For the total energy, the calculation gives -25.66 eV/f.u. As for the mass density: 5.141 g cm⁻³. For the energy of formation from the pure elements, the calculation gives -0.511 eV/atom. The calculation puts the total magnetic moment at 0.0 μB per cell. The calculation puts the energy above the lowest structure with this stoichiometry at 0 meV/atom. Its density of states at the Fermi level is 2.83 states/eV/f.u.

Entry 8:
NdAlCo2: relaxed, GGA-PBE.

abc: 4.180 4.180 5.424
angles: 67.34 67.34 60.00
Sites, in units of the cell vectors:
Co1 0.688 0.688 0.936
Co2 0.312 0.312 0.064
Al1 0.000 0.000 0.000
Nd1 0.500 0.500 0.500

Calculated values
For the total energy, the calculation gives -23.74 eV/f.u. As for the mass density: 6.533 g cm⁻³. For the energy of formation from the pure elements, the calculation gives -0.255 eV/atom. The calculation puts the total magnetic moment at 1.3 μB per cell. Its density of states at the Fermi level is 5.90 states/eV/f.u.